DFT (GGA-PBE) results for K2UBr6 after structural relaxation.

The calculation puts the total energy at -4.15 eV/atom. The crystal system is tetragonal. The calculation puts the total magnetization at 2.0 μB/f.u.

The structure belongs to space group P4_2/mnm (No. 136); the cell edges are 7.380, 7.380 and 14.205 Å and the angles 90.00°, 90.00° and 90.00°. Symmetry generates all atoms from K at (0.000, 0.000, 0.166), U at (0.000, 0.000, 0.500), Br at (0.184, 0.184, 0.358) and Br at (0.232, 0.232, 0.000).